Record 1
Material: BeFe2Pb
Method: DFT, SCAN
State: PBEsol geometry

Computed properties:
raw total energy	-28.676	eV/atom
density	9.83	g cm⁻³
energy above the most stable polymorph in this dataset	32	meV/atom
energy of formation from the pure elements	0.423	eV/atom

```
4
Lattice="2.974 0.000 0.000 0.000 2.974 0.000 0.000 0.000 6.261" Properties=species:S:1:pos:R:3 pbc="T T T"
Be 1.487 1.487 3.130
Fe 0.000 0.000 2.028
Fe 0.000 0.000 4.233
Pb 1.487 1.487 0.000
```



Record 2
Material: BeFePb3
Method: DFT, SCAN
State: PBEsol geometry

Computed properties:
raw total energy	-49.199	eV/atom
density	8.94	g cm⁻³
energy of formation from the pure elements	0.766	eV/atom

```
5
Lattice="5.034 0.000 0.000 0.000 5.034 0.000 0.000 0.000 5.034" Properties=species:S:1:pos:R:3 pbc="T T T"
Pb 2.517 0.000 0.000
Pb 0.000 0.000 2.517
Pb 0.000 2.517 0.000
Fe 0.000 0.000 0.000
Be 2.517 2.517 2.517
```



Record 3
Material: BeFePb2
Method: DFT, SCAN
State: PBEsol geometry

Computed properties:
raw total energy	-43.180	eV/atom
density	10.26	g cm⁻³
energy of formation from the pure elements	0.332	eV/atom

```
4
Lattice="-1.935 1.691 -1.713 -2.345 -0.828 1.831 1.431 6.449 4.749" Properties=species:S:1:pos:R:3 pbc="T T T"
Pb 0.118 0.531 0.391
Pb -1.175 4.778 3.260
Be 0.590 2.660 1.959
Fe -1.666 2.567 1.632
```